Record 1
# LaTa4Pt

A geometry-optimized LaTa4Pt structure (PBE, Alexandria via LeMat-Bulk).

Lattice parameters (Å, degrees): 7.9273 7.9273 7.9273 90.00 90.00 90.00
Space group F-43m (No. 216)
Inequivalent atoms, fractional coordinates:
La 0.0000 0.0000 0.0000
Ta 0.1257 0.1257 0.3743
Pt 0.2500 0.2500 0.7500

Output
* energy relative to the elements: 0.298 eV/atom
* calculated density: 14.1 g cm⁻³

=====

Record 2
# La2TaPt

A geometry-optimized La2TaPt structure (PBE, Alexandria via LeMat-Bulk).

Lattice parameters (Å, degrees): 3.6061 4.8117 5.3262 90.00 90.00 90.00
Space group Pmmm (No. 47)
Inequivalent atoms, fractional coordinates:
La 0.0000 0.0000 0.0000
La 0.5000 0.0000 0.5000
Ta 0.0000 0.5000 0.5000
Pt 0.5000 0.5000 0.0000

Output
* energy relative to the elements: 0.040 eV/atom
* calculated density: 11.7 g cm⁻³

=====

Record 3
# La2TaPt

A geometry-optimized La2TaPt structure (PBE, Alexandria via LeMat-Bulk).

Lattice parameters (Å, degrees): 3.6320 3.6320 27.7547 90.00 90.00 120.00
Space group R-3m (No. 166, hexagonal axes)
Inequivalent atoms, fractional coordinates:
La 0.0000 0.0000 0.2421
Ta 0.0000 0.0000 0.0000
Pt 0.0000 0.0000 0.5000

Output
* energy relative to the elements: 0.082 eV/atom
* calculated density: 10.3 g cm⁻³

=====

Record 4
# La2TaPt

A geometry-optimized La2TaPt structure (PBE, Alexandria via LeMat-Bulk).

Lattice parameters (Å, degrees): 4.4150 4.4150 21.9204 90.00 90.00 120.00
Space group R3m (No. 160, hexagonal axes)
Inequivalent atoms, fractional coordinates:
La 0.0000 0.0000 0.0000
La 0.0000 0.0000 0.1910
Ta 0.0000 0.0000 0.4347
Pt 0.0000 0.0000 0.7543

Output
* energy relative to the elements: -0.213 eV/atom
* calculated density: 8.8 g cm⁻³

=====

Record 5
# La2TaPt

A geometry-optimized La2TaPt structure (PBE, Alexandria via LeMat-Bulk).

Lattice parameters (Å, degrees): 3.3640 3.3640 9.2504 90.00 90.00 90.00
Space group P4mm (No. 99)
Inequivalent atoms, fractional coordinates:
La 0.0000 0.0000 0.0000
La 0.5000 0.5000 0.3698
Ta 0.5000 0.5000 0.7501
Pt 0.0000 0.0000 0.6104

Output
* energy relative to the elements: -0.254 eV/atom
* calculated density: 10.4 g cm⁻³

=====

Record 6
# La2TaPt

A geometry-optimized La2TaPt structure (PBE, Alexandria via LeMat-Bulk).

Lattice parameters (Å, degrees): 8.1985 8.1985 6.1036 90.00 90.00 90.00
Space group I-42d (No. 122)
Inequivalent atoms, fractional coordinates:
La 0.2261 0.2500 0.1250
Ta 0.0000 0.0000 0.5000
Pt 0.0000 0.0000 0.0000

Output
* energy relative to the elements: 0.179 eV/atom
* calculated density: 10.6 g cm⁻³

=====

Record 7
# La2TaPt

A geometry-optimized La2TaPt structure (PBE, Alexandria via LeMat-Bulk).

Lattice parameters (Å, degrees): 12.6419 3.5100 5.1826 90.00 114.04 90.00
Space group Cm (No. 8)
Inequivalent atoms, fractional coordinates:
La 0.0000 0.0000 0.0000
La 0.2022 0.0000 0.7040
Ta 0.4232 0.0000 0.4235
Pt 0.2619 0.5000 0.2643

Output
* energy relative to the elements: -0.221 eV/atom
* calculated density: 10.3 g cm⁻³

=====

Record 8
# La2TaPt

A geometry-optimized La2TaPt structure (PBE, Alexandria via LeMat-Bulk).

Lattice parameters (Å, degrees): 3.4824 3.4948 8.3552 90.00 90.10 90.00
Space group P2/m (No. 10)
Inequivalent atoms, fractional coordinates:
La 0.9998 0.0000 0.2289
Ta 0.5000 0.5000 0.5000
Pt 0.5000 0.5000 0.0000

Output
* energy relative to the elements: -0.115 eV/atom
* calculated density: 10.7 g cm⁻³